The following is a DFT calculation (PBE with a Hubbard U) of a relaxed VSnF5 crystal.

```
VSnF5
1.0
-2.030 3.436 4.260
2.030 -3.436 4.260
2.030 3.436 -4.260
V Sn F
1 1 5
Cartesian
0.000 0.000 0.000 V
0.000 0.000 4.260 Sn
2.030 0.000 0.000 F
0.000 0.000 1.939 F
0.000 1.980 0.000 F
0.000 4.892 0.000 F
0.000 0.000 6.581 F
```

Values from the calculation:
* V: 16.982 Å³/atom
* theoretical density: 3.70 g/cm³
* final energy: -5.573 eV/atom